Record 1
The following is a DFT calculation (GGA-PBEsol) of a relaxed MgZr2In crystal.

Calculated values
E_form: -188.6 meV per atom

```
data_MgZr2In
_chemical_formula_sum 'Mg2 Zr4 In2'
_cell_length_a 6.098
_cell_length_b 8.896
_cell_length_c 3.133
_cell_angle_alpha 90.00
_cell_angle_beta 90.00
_cell_angle_gamma 90.00
_space_group_name_H-M_alt 'C m m m'
_space_group_IT_number 65
_space_group_name_Hall '-C 2 2'
loop_
_atom_site_label
_atom_site_fract_x
_atom_site_fract_y
_atom_site_fract_z
Mg1 0.000 0.000 0.000
Zr1 0.250 0.250 0.500
In1 0.000 0.500 0.000
```

***

Record 2
The following is a DFT calculation (GGA-PBEsol) of a relaxed CaHgMo2 crystal.

Calculated values
E_form: 230.0 meV per atom

```
data_CaHgMo2
_chemical_formula_sum 'Ca1 Hg1 Mo2'
_cell_length_a 3.257
_cell_length_b 3.251
_cell_length_c 7.531
_cell_angle_alpha 90.00
_cell_angle_beta 91.96
_cell_angle_gamma 90.00
_space_group_name_H-M_alt 'P 1 m 1'
_space_group_IT_number 6
_space_group_name_Hall 'P -2y'
loop_
_atom_site_label
_atom_site_fract_x
_atom_site_fract_y
_atom_site_fract_z
Ca1 0.000 0.000 0.000
Hg1 0.520 0.500 0.291
Mo1 0.051 0.000 0.545
Mo2 0.500 0.500 0.703
```